(1)
Material: YPtSe
Method: DFT, PBE-GGA
State: optimized geometry

Summary:
Raw formation energy ... -1.25 eV per atom
Distance to the lowest polymorph of the same formula ... 0.0 kJ per mole of atoms
DFT total energy ... -6.580 eV/atom

Structure (CIF):
```
data_YPtSe
_cell_length_a 4.3121
_cell_length_b 4.3121
_cell_length_c 30.5926
_cell_angle_alpha 90.00
_cell_angle_beta 90.00
_cell_angle_gamma 120.00
_space_group_name_H-M_alt 'R -3 m'
_space_group_IT_number 166
_space_group_name_Hall '-R 3 2"'
loop_
_atom_site_label
_atom_site_type_symbol
_atom_site_fract_x
_atom_site_fract_y
_atom_site_fract_z
Y1 Y 0.0000 0.0000 0.0689
Pt1 Pt 0.0000 0.0000 0.3334
Se1 Se 0.0000 0.0000 0.2219
```

***

(2)
Material: AlMoAu
Method: DFT, PBE-GGA
State: optimized geometry

Summary:
Formation enthalpy at 0 K ... 1.22 eV/f.u.
Distance to the lowest polymorph of the same formula ... 40.5 kJ per mole of atoms
DFT total energy ... -5.543 eV/atom

Structure (CIF):
```
data_AlMoAu
_cell_length_a 6.150
_cell_length_b 6.150
_cell_length_c 6.150
_cell_angle_alpha 90.00
_cell_angle_beta 90.00
_cell_angle_gamma 90.00
_space_group_name_H-M_alt 'F -4 3 m'
_space_group_IT_number 216
_space_group_name_Hall 'F -4 2 3'
loop_
_atom_site_label
_atom_site_type_symbol
_atom_site_fract_x
_atom_site_fract_y
_atom_site_fract_z
Al1 Al 0.000 0.000 0.000
Mo1 Mo 0.000 0.000 0.500
Au1 Au 0.250 0.250 0.250
```

***

(3)
Material: Y8Te3PIr3
Method: DFT, PBE-GGA
State: optimized geometry

Summary:
Raw formation energy ... -1.03 eV per atom
DFT total energy ... -7.234 eV/atom

Structure (CIF):
```
data_Y8Te3PIr3
_cell_length_a 8.2904
_cell_length_b 8.2904
_cell_length_c 21.2971
_cell_angle_alpha 90.00
_cell_angle_beta 90.00
_cell_angle_gamma 120.00
_space_group_name_H-M_alt 'R -3 m'
_space_group_IT_number 166
_space_group_name_Hall '-R 3 2"'
loop_
_atom_site_label
_atom_site_type_symbol
_atom_site_fract_x
_atom_site_fract_y
_atom_site_fract_z
Y1 Y 0.0000 0.0000 0.2363
Y2 Y 0.0034 0.5017 0.7645
Te1 Te 0.0000 0.5000 0.0000
P1 P 0.0000 0.0000 0.5000
Ir1 Ir 0.0000 0.5000 0.5000
```

***

(4)
Material: Cs2TmSbSe4
Method: DFT, PBE-GGA
State: optimized geometry

Summary:
Raw formation energy ... -1.07 eV per atom
DFT total energy ... -4.096 eV/atom

Structure (CIF):
```
data_Cs2TmSbSe4
_cell_length_a 7.125
_cell_length_b 15.373
_cell_length_c 25.860
_cell_angle_alpha 90.00
_cell_angle_beta 90.00
_cell_angle_gamma 90.00
_space_group_name_H-M_alt 'F d d d'
_space_group_IT_number 70
loop_
_space_group_symop_operation_xyz
'x,y,z'
'-x,-y,-z'
'-x+1/4,-y+1/4,z'
'x+1/4,y+1/4,-z'
'x,-y+1/4,-z+1/4'
'-x,y+1/4,z+1/4'
'-x+1/4,y,-z+1/4'
'x+1/4,-y,z+1/4'
'x,y+1/2,z+1/2'
'-x,-y+1/2,-z+1/2'
'-x+1/4,-y+3/4,z+1/2'
'x+1/4,y+3/4,-z+1/2'
'x,-y+3/4,-z+3/4'
'-x,y+3/4,z+3/4'
'-x+1/4,y+1/2,-z+3/4'
'x+1/4,-y+1/2,z+3/4'
'x+1/2,y,z+1/2'
'-x+1/2,-y,-z+1/2'
'-x+3/4,-y+1/4,z+1/2'
'x+3/4,y+1/4,-z+1/2'
'x+1/2,-y+1/4,-z+3/4'
'-x+1/2,y+1/4,z+3/4'
'-x+3/4,y,-z+3/4'
'x+3/4,-y,z+3/4'
'x+1/2,y+1/2,z'
'-x+1/2,-y+1/2,-z'
'-x+3/4,-y+3/4,z'
'x+3/4,y+3/4,-z'
'x+1/2,-y+3/4,-z+1/4'
'-x+1/2,y+3/4,z+1/4'
'-x+3/4,y+1/2,-z+1/4'
'x+3/4,-y+1/2,z+1/4'
loop_
_atom_site_label
_atom_site_type_symbol
_atom_site_fract_x
_atom_site_fract_y
_atom_site_fract_z
Cs1 Cs 0.125 0.125 0.306
Tm1 Tm 0.125 0.125 0.125
Sb1 Sb 0.125 0.125 0.625
Se1 Se 0.113 0.276 0.429
```